Computed, not measured: a relaxed LaAgSe3 crystal at the PBE-GGA level of DFT.

Properties
M_tot: 0.9 Bohr magnetons per cell
Crystal system: cubic
Calculated total energy: -3.8195 eV/atom

Cell lengths 5.7592, 5.7592, 5.7592 Å; angles 90.00, 90.00, 90.00 degrees
Last column: nearest neighbours and their distance in Å.
Space group Pm-3m (No. 221)
Symmetry-distinct sites (fractional):
La 0.0000 0.0000 0.0000 x1  6 Se 2.88
Ag 0.5000 0.5000 0.5000 x1  12 Se 4.07
Se 0.0000 0.0000 0.5000 x3  2 La 2.88

Computed, not measured: a relaxed LaAgSe2 crystal at the PBE-GGA level of DFT.

Properties
M_tot: 0.0 Bohr magnetons per cell
Crystal system: cubic
Calculated total energy: -4.3867 eV/atom

Cell lengths 7.2285, 7.2285, 7.2285 Å; angles 90.00, 90.00, 90.00 degrees
Last column: nearest neighbours and their distance in Å.
Space group F-43m (No. 216)
Symmetry-distinct sites (fractional):
La 0.0000 0.0000 0.0000 x4  4 Se 3.13, 4 Ag 3.13
Ag 0.2500 0.2500 0.7500 x4  4 La 3.13, 4 Se 3.13
Se 0.0000 0.0000 0.5000 x4  4 Se 3.13, 4 Ag 3.13
Se 0.2500 0.2500 0.2500 x4  4 La 3.13, 4 Se 3.13

Computed, not measured: a relaxed La2AgSe4 crystal at the PBE-GGA level of DFT.

Properties
M_tot: 0.0 Bohr magnetons per cell
Crystal system: monoclinic
Calculated total energy: -5.2439 eV/atom

Cell lengths 7.4103, 5.9840, 8.6804 Å; angles 90.00, 106.86, 90.00 degrees
Last column: nearest neighbours and their distance in Å.
Space group P2_1/m (No. 11)
Symmetry-distinct sites (fractional):
La 0.2327 0.2500 0.4293 x2  8 Se 3.05-3.36, 1 Ag 3.34
La 0.2373 0.2500 0.9366 x2  8 Se 2.97-3.33
Ag 0.2384 0.7500 0.6818 x2  4 Se 2.57-2.62
Se 0.0577 0.7500 0.3802 x2  1 Ag 2.57
Se 0.0637 0.7500 0.8993 x2  1 Ag 2.58
Se 0.4689 0.5164 0.2422 x4  1 Ag 2.62, 1 Se 2.80

Computed, not measured: a relaxed La2Ag2Se crystal at the PBE-GGA level of DFT.

Properties
M_tot: 0.0 Bohr magnetons per cell
Crystal system: tetragonal
Calculated total energy: -4.3491 eV/atom

Cell lengths 8.1745, 8.1745, 4.0542 Å; angles 90.00, 90.00, 90.00 degrees
Last column: nearest neighbours and their distance in Å.
Space group P4/mbm (No. 127)
Symmetry-distinct sites (fractional):
La 0.1786 0.3214 0.0000 x4  6 Ag 3.09-3.21
Ag 0.1198 0.6198 0.5000 x4  1 Ag 2.77, 2 La 3.09
Se 0.0000 0.0000 0.5000 x2  4 Ag 3.26, 8 La 3.63

Computed uncorrected formation energy (eV per atom) in order:
-0.173 -0.700 -1.438 -0.541